9
Lattice="-4.623 -4.396 2.990 6.666 -2.048 -1.005 1.652 2.394 6.073" Properties=species:S:1:pos:R:3 comment="GGA-PBE Ac6GeN2, relaxed" raw_formation_energy_ev_per_fu=-5.0 e_tot_ev_per_atom=-5.653 pbc="T T T"
Ac 4.710 -0.647 1.034
Ac 3.607 0.993 4.034
Ac -0.477 0.144 5.480
Ac -2.495 -2.145 3.584
Ac 1.194 -1.671 2.394
Ac 2.499 -2.379 5.665
N -0.035 -2.416 4.695
N 3.728 -1.634 3.363
Ge 0.000 0.000 0.000

***

14
Lattice="-1.550 1.680 7.006 4.390 -5.351 2.254 7.248 4.881 -2.532" Properties=species:S:1:pos:R:3 comment="GGA-PBE Ac4Ge2N, relaxed" raw_formation_energy_ev_per_fu=-5.3 e_tot_ev_per_atom=-5.615 relative_energy_mev_per_atom=0 pbc="T T T"
Ge 6.207 -0.030 5.468
Ge 2.567 -2.545 6.587
Ge 7.521 3.755 0.141
Ge 3.881 1.240 1.261
Ac 4.216 3.320 5.546
Ac 4.638 4.492 1.718
Ac 6.800 1.857 2.828
Ac 5.872 -2.110 1.183
Ac 9.810 0.572 -0.119
Ac 3.288 -0.647 3.901
Ac 5.450 -3.282 5.011
Ac 0.278 0.638 6.848
N 4.274 -2.661 2.989
N 5.814 3.871 3.740

***

Number 1: magnetization 0.0 μB per cell. Number 2: magnetization 1.5 μB per cell.